VASP calculation (PBE) on an optimized crystal structure of CeDy5Hg6.

Summary:
Formation enthalpy at 0 K, eV per atom: -0.4407
Energy, eV/atom: -3.00
V, Å³/atom: 26.224
Spin magnetization, Bohr magnetons per cell: 2.2

Cell: 5.267 7.526 8.361 Å, 90.00 108.30 90.00°
Fractional positions:
1 Ce 0.000 0.000 0.000
2 Dy 0.000 0.500 0.000
3 Dy 0.334 0.000 0.666
4 Dy 0.337 0.500 0.672
5 Dy 0.663 0.500 0.328
6 Dy 0.666 0.000 0.334
7 Hg 0.169 0.256 0.341
8 Hg 0.169 0.744 0.341
9 Hg 0.500 0.257 0.000
10 Hg 0.500 0.743 0.000
11 Hg 0.831 0.256 0.659
12 Hg 0.831 0.744 0.659